Compound: CoNi2Rh
Source: Alexandria via LeMat-Bulk
Functional: PBE
Structure: optimized geometry

- symmetry = Pmm2
- total magnetic moment (μB per cell) = 4.05
- uncorrected energy (eV for the cell shown) = -25.89
- energy relative to the lowest polymorph listed for this composition (eV/atom) = 0.021

Unit cell a=2.5934 b=3.5762 c=5.1521 alpha=90.00 beta=90.00 gamma=90.00
Element x y z (fractional)
1 Co 0.0000 0.0000 0.0000
2 Ni 0.0000 0.0000 0.4756
3 Ni 0.5000 0.5000 0.2384
4 Rh 0.5000 0.5000 0.7398